KMgWF6: optimized geometry, PBE+U.

Output
final energy = -5.329 eV per atom
SG = P-31c, No. 163
crystal system = trigonal

Structure (extended XYZ):
```
18
Lattice="5.594 0.000 0.000 -2.797 4.845 0.000 0.000 0.000 11.184" Properties=species:S:1:pos:R:3 pbc="T T T"
K 0.000 0.000 0.000
K 0.000 0.000 5.592
Mg 0.000 3.230 2.796
Mg 2.797 1.615 8.388
W 2.797 1.615 2.796
W 0.000 3.230 8.388
F 1.717 3.098 1.720
F -0.973 1.808 1.720
F 2.052 0.062 7.312
F 3.770 3.037 9.464
F 0.973 1.808 3.872
F -1.717 3.098 3.872
F 3.542 0.062 9.464
F 0.745 4.783 3.872
F 4.515 1.746 7.312
F -0.745 4.783 1.720
F 1.825 3.037 7.312
F 1.080 1.746 9.464
```